Density functional theory data (PBE with a Hubbard U) for DyAlFeO4 after structural relaxation.

Its density of states at the Fermi level is 0.00 states/eV/atom. As for the theoretical density: 6.063 g cm⁻³. The value obtained for the total energy is -7.47 eV/atom.

The space group is Imma (No. 74) and the conventional cell measures 6.0962, 6.4111 and 8.6703 Å, with angles of 90.00, 90.00 and 90.00 degrees. The inequivalent atoms are Dy at (0.0000, 0.0000, 0.0000), Al at (0.0000, 0.2500, 0.3774), Fe at (0.2500, 0.2500, 0.7500), O at (0.0000, 0.0098, 0.2615) and O at (0.2403, 0.2500, 0.5010).